Entry 1:
Entry from Alexandria via LeMat-Bulk: a geometry-optimized TlHg4Pb8 structure (PBE-GGA).

E_form (eV/f.u.): 2.46
Density of states at the Fermi level (states/eV/f.u.): 7.8
Magnetic moment (μB/f.u.): 0.00
Crystal system: cubic
V (Å³ per cell): 439.4
Symmetry: No. 216
Energy (Ha/atom): -0.087

Cell lengths 8.5338, 8.5338, 8.5338 Å; angles 60.00, 60.00, 60.00 degrees
Fractional coordinates of all 13 atoms:
Tl 0.0000 0.0000 0.0000
Hg 0.4030 0.4030 0.4030
Hg 0.4030 0.4030 0.7910
Hg 0.4030 0.7910 0.4030
Hg 0.7910 0.4030 0.4030
Pb 0.0448 0.6517 0.6517
Pb 0.1504 0.1504 0.1504
Pb 0.1504 0.1504 0.5489
Pb 0.1504 0.5489 0.1504
Pb 0.5489 0.1504 0.1504
Pb 0.6517 0.0448 0.6517
Pb 0.6517 0.6517 0.0448
Pb 0.6517 0.6517 0.6517


Entry 2:
Entry from Alexandria via LeMat-Bulk: a geometry-optimized Tl14HgPb structure (PBE-GGA).

E_form (eV/f.u.): 0.06
Density of states at the Fermi level (states/eV/f.u.): 6.1
Magnetic moment (μB/f.u.): 0.00
Crystal system: orthorhombic
V (Å³ per cell): 490.9
Symmetry: No. 38
Energy (Ha/atom): -0.085

Cell lengths 11.0931, 6.8355, 6.8355 Å; angles 71.27, 90.00, 90.00 degrees
Fractional coordinates of all 16 atoms:
Tl 0.0000 0.0000 0.0000
Tl 0.0000 0.4810 0.4810
Tl 0.0000 0.5079 0.9719
Tl 0.0000 0.9719 0.5079
Tl 0.2424 0.2416 0.2416
Tl 0.2566 0.2161 0.7463
Tl 0.2566 0.7463 0.2161
Tl 0.2597 0.7206 0.7206
Tl 0.5000 0.0014 0.4686
Tl 0.5000 0.4686 0.0014
Tl 0.7403 0.7206 0.7206
Tl 0.7434 0.2161 0.7463
Tl 0.7434 0.7463 0.2161
Tl 0.7576 0.2416 0.2416
Hg 0.5000 0.9770 0.9770
Pb 0.5000 0.4941 0.4941